Compound: La5Ga2Te2
Source: Alexandria via LeMat-Bulk
Functional: PBE
Structure: optimized geometry

The structure belongs to space group Cmce (No. 64); the cell edges are 16.204, 8.341 and 8.344 Å and the angles 90.00°, 90.00° and 90.00°. Symmetry generates all atoms from La at (0.000, 0.000, 0.000), La at (0.133, 0.172, 0.331), Ga at (0.000, 0.120, 0.616) and Te at (0.202, 0.000, 0.000).

The raw formation energy comes out at -0.976 eV per atom. The total magnetization comes out at 0.24 μB/cell. The total energy comes out at -5.08 eV per atom.

=====

Compound: YBeAl2
Source: Alexandria via LeMat-Bulk
Functional: PBE
Structure: optimized geometry

The structure belongs to space group R3m (No. 160, hexagonal axes); the cell edges are 4.0692, 4.0692 and 15.6948 Å and the angles 90.00°, 90.00° and 120.00°. Symmetry generates all atoms from Y at (0.0000, 0.0000, 0.0000), Be at (0.0000, 0.0000, 0.7985), Al at (0.0000, 0.0000, 0.2064) and Al at (0.0000, 0.0000, 0.4597).

The calculation puts the energy relative to the elements at -0.2249 eV/atom. The total magnetization comes out at 0.00 μB/cell. The total energy comes out at -4.64 eV per atom.

=====

Compound: SiSnPd3
Source: Alexandria via LeMat-Bulk
Functional: PBE
Structure: optimized geometry

The structure belongs to space group Pm-3m (No. 221); the cell edges are 4.580, 4.580 and 4.580 Å and the angles 90.00°, 90.00° and 90.00°. Symmetry generates all atoms from Si at (0.000, 0.000, 0.000), Sn at (0.500, 0.500, 0.500) and Pd at (0.000, 0.000, 0.500).

The calculation puts the offset from the most stable computed form at 0.3883 eV per atom. The raw formation energy comes out at -0.164 eV per atom. The total magnetization comes out at 0.00 μB/cell. The total energy comes out at -5.17 eV per atom.

=====

Compound: K2BaTeF
Source: Alexandria via LeMat-Bulk
Functional: PBE
Structure: optimized geometry

The structure belongs to space group P4/mmm (No. 123); the cell edges are 5.241, 5.241 and 5.952 Å and the angles 90.00°, 90.00° and 90.00°. Symmetry generates all atoms from K at (0.000, 0.500, 0.000), Ba at (0.000, 0.000, 0.500), Te at (0.500, 0.500, 0.500) and F at (0.000, 0.000, 0.000).

The raw formation energy comes out at -1.586 eV per atom. The total magnetization comes out at 0.00 μB/cell. The total energy comes out at -3.41 eV per atom.

=====

Compound: Li2AcInPt
Source: Alexandria via LeMat-Bulk
Functional: PBE
Structure: optimized geometry

The structure belongs to space group Imm2 (No. 44); the cell edges are 4.192, 4.233 and 13.059 Å and the angles 90.00°, 90.00° and 90.00°. Symmetry generates all atoms from Li at (0.000, 0.000, 0.000), Li at (0.000, 0.500, 0.342), Ac at (0.000, 0.500, 0.715), In at (0.000, 0.000, 0.483) and Pt at (0.000, 0.500, 0.140).

The calculation puts the energy relative to the elements at -0.5646 eV/atom. The total magnetization comes out at 0.00 μB/cell. The total energy comes out at -3.91 eV per atom.

=====

Compound: Ti2GaSi
Source: Alexandria via LeMat-Bulk
Functional: PBE
Structure: optimized geometry

The structure belongs to space group P2_1/m (No. 11); the cell edges are 5.113, 3.664 and 7.192 Å and the angles 90.00°, 110.47° and 90.00°. Symmetry generates all atoms from Ti at (0.193, 0.250, 0.423), Ti at (0.274, 0.750, 0.066), Ga at (0.391, 0.750, 0.706) and Si at (0.130, 0.250, 0.794).

The raw formation energy comes out at -0.606 eV per atom. The total magnetization comes out at 0.00 μB/cell. The total energy comes out at -6.67 eV per atom.